Material: AcCoNO
Method: DFT, PBE+U
State: optimized geometry

Lattice parameters (Å, degrees): 3.7079 5.5874 5.6992 90.00 90.00 90.00
Closest atoms and distances in Å follow each position.
Element x y z (fractional)
Ac 0.0000 0.4994 0.2125  2 N 2.56-2.86, 4 O 2.60-2.63
Ac 0.0000 0.9994 0.7875  2 N 2.56-2.86, 4 O 2.60-2.63
Co 0.5000 0.0014 0.2868  2 N 1.88
Co 0.5000 0.5014 0.7132  2 N 1.88
N 0.0000 0.0047 0.3386  2 Co 1.88
N 0.0000 0.5047 0.6614  2 Co 1.88
O 0.5000 0.7485 0.0044  2 Co 2.14-2.16
O 0.5000 0.2485 0.9956  2 Co 2.14-2.16

Output
- symmetry = Pmc2_1, No. 26
- spin magnetization (μB per cell) = 5.98
- E_tot (hartree per atom) = -0.2517
- energy relative to the lowest polymorph listed for this composition (meV per atom) = 0